DFT (GGA-PBE) results for a relaxed DySc2Pb crystal.

Structure (POSCAR):
```
DySc2Pb
1.0
4.675 0.000 0.000
0.000 4.675 0.000
0.000 0.000 4.649
Dy Sc Pb
1 2 1
direct
0.000 0.000 0.000 Dy
0.000 0.500 0.500 Sc
0.500 0.000 0.500 Sc
0.500 0.500 0.000 Pb
```

Values from the calculation:
symmetry: P4/mmm
polymorph energy (0 for the lowest one): 73 meV/atom
energy: -22.003 eV for the cell shown



DFT (GGA-PBE) results for a relaxed Dy3Sc2Pb4 crystal.

Structure (POSCAR):
```
Dy3Sc2Pb4
1.0
7.877 -2.473 0.000
7.877 2.473 0.000
-1.945 0.000 6.481
Dy Sc Pb
3 2 4
direct
0.000 0.000 0.000 Dy
0.121 0.121 0.595 Dy
0.879 0.879 0.405 Dy
0.332 0.332 0.941 Sc
0.668 0.668 0.059 Sc
0.235 0.235 0.267 Pb
0.490 0.490 0.717 Pb
0.510 0.510 0.283 Pb
0.765 0.765 0.733 Pb
```

Values from the calculation:
symmetry: C2/m
polymorph energy (0 for the lowest one): 6 meV/atom
energy: -44.971 eV for the cell shown



DFT (GGA-PBE) results for a relaxed DySc2Pb crystal.

Structure (POSCAR):
```
DySc2Pb
1.0
0.000 3.704 3.704
3.704 0.000 3.704
3.704 3.704 0.000
Dy Sc Pb
1 2 1
direct
0.000 0.000 0.000 Dy
0.250 0.250 0.250 Sc
0.500 0.500 0.500 Sc
0.750 0.750 0.750 Pb
```

Values from the calculation:
symmetry: F-43m
polymorph energy (0 for the lowest one): 235 meV/atom
energy: -21.357 eV for the cell shown



DFT (GGA-PBE) results for a relaxed DySc3Pb2 crystal.

Structure (POSCAR):
```
DySc3Pb2
1.0
2.359 -7.640 0.000
2.359 7.640 0.000
0.000 0.000 4.196
Dy Sc Pb
1 3 2
direct
0.000 0.000 0.000 Dy
0.176 0.824 0.500 Sc
0.500 0.500 0.500 Sc
0.824 0.176 0.500 Sc
0.348 0.652 0.000 Pb
0.652 0.348 0.000 Pb
```

Values from the calculation:
symmetry: Cmmm
energy: -32.834 eV for the cell shown